# 1
Material: YScW4
Method: DFT, SCAN
State: single point on PBEsol structure

electronic total energy	-53.3589	eV per atom
calculated density	12.87	g/cm³
DFT formation energy	0.113	eV per atom
V	112	Å³/cell
symmetry	No. 216
crystal system	cubic

Cell lengths 5.4125, 5.4125, 5.4125 Å; angles 60.00, 60.00, 60.00 degrees
Atoms (fractional coordinates):
Y 0.0000 0.0000 0.0000
Sc 0.7500 0.7500 0.7500
W 0.3750 0.3750 0.3750
W 0.3750 0.3750 0.8750
W 0.3750 0.8750 0.3750
W 0.8750 0.3750 0.3750

# 2
Material: RhWBr2
Method: DFT, SCAN
State: single point on PBEsol structure

electronic total energy	-34.4087	eV per atom
calculated density	11.55	g/cm³
V	64	Å³/cell
formation energy without anion corrections	27.3	kcal/mol of atoms
symmetry	No. 123
crystal system	tetragonal

Cell lengths 3.1783, 3.1783, 6.3543 Å; angles 90.00, 90.00, 90.00 degrees
Atoms (fractional coordinates):
Rh 0.0000 0.0000 0.0000
W 0.0000 0.0000 0.5000
Br 0.5000 0.5000 0.2562
Br 0.5000 0.5000 0.7438

# 3
Material: Cu5Rh3
Method: DFT, SCAN
State: single point on PBEsol structure

electronic total energy	-22.0760	eV per atom
calculated density	10.58	g/cm³
DFT formation energy	0.088	eV per atom
V	98	Å³/cell
symmetry	No. 65
crystal system	orthorhombic

Cell lengths 5.1638, 5.1638, 3.6883 Å; angles 90.00, 90.00, 91.33 degrees
Atoms (fractional coordinates):
Cu 0.0000 0.0000 0.0000
Cu 0.0000 0.5000 0.0000
Cu 0.2429 0.2429 0.5000
Cu 0.5000 0.0000 0.0000
Cu 0.7571 0.7571 0.5000
Rh 0.2512 0.7488 0.5000
Rh 0.5000 0.5000 0.0000
Rh 0.7488 0.2512 0.5000

# 4
Material: ScCuHg
Method: DFT, SCAN
State: single point on PBEsol structure

electronic total energy	-32.8750	eV per atom
calculated density	9.79	g/cm³
DFT formation energy	-0.341	eV per atom
V	52	Å³/cell
symmetry	No. 107
crystal system	tetragonal

Cell lengths 5.0050, 5.0050, 5.0050 Å; angles 139.48, 139.48, 58.64 degrees
Atoms (fractional coordinates):
Sc 0.0000 0.0000 0.0000
Cu 0.3371 0.3371 0.0000
Hg 0.6781 0.6781 0.0000

# 5
Material: MnO2
Method: DFT, SCAN
State: single point on PBEsol structure

electronic total energy	-12.3104	eV per atom
calculated density	4.87	g/cm³
V	237	Å³/cell
formation energy without anion corrections	-47.8	kcal/mol of atoms
symmetry	No. 186
crystal system	hexagonal

Cell lengths 5.6276, 5.6276, 8.6397 Å; angles 90.00, 90.00, 120.00 degrees
Atoms (fractional coordinates):
Mn 0.1675 0.3351 0.0000
Mn 0.1675 0.8325 0.0000
Mn 0.3333 0.6667 0.7258
Mn 0.3351 0.1675 0.5000
Mn 0.6649 0.8325 0.0000
Mn 0.6667 0.3333 0.2258
Mn 0.8325 0.1675 0.5000
Mn 0.8325 0.6649 0.5000
O 0.0000 0.0000 0.3920
O 0.0000 0.0000 0.8920
O 0.0387 0.5193 0.8706
O 0.1662 0.3324 0.6127
O 0.1662 0.8338 0.6127
O 0.3324 0.1662 0.1127
O 0.3333 0.6667 0.1115
O 0.4807 0.5193 0.8706
O 0.4807 0.9613 0.8706
O 0.5193 0.0387 0.3706
O 0.5193 0.4807 0.3706
O 0.6667 0.3333 0.6115
O 0.6676 0.8338 0.6127
O 0.8338 0.1662 0.1127
O 0.8338 0.6676 0.1127
O 0.9613 0.4807 0.3706

# 6
Material: LaW2Cl
Method: DFT, SCAN
State: single point on PBEsol structure

electronic total energy	-46.7161	eV per atom
calculated density	10.86	g/cm³
V	83	Å³/cell
formation energy without anion corrections	20.7	kcal/mol of atoms
symmetry	No. 47
crystal system	orthorhombic

Cell lengths 2.8386, 5.3467, 5.4619 Å; angles 90.00, 90.00, 90.00 degrees
Atoms (fractional coordinates):
La 0.0000 0.0000 0.0000
W 0.5000 0.2293 0.5000
W 0.5000 0.7707 0.5000
Cl 0.0000 0.5000 0.0000

# 7
Material: ReOsI2N
Method: DFT, SCAN
State: single point on PBEsol structure

electronic total energy	-43.5825	eV per atom
calculated density	9.94	g/cm³
V	108	Å³/cell
formation energy without anion corrections	36.2	kcal/mol of atoms
symmetry	No. 123
crystal system	tetragonal

Cell lengths 5.4255, 5.4255, 3.6546 Å; angles 90.00, 90.00, 90.00 degrees
Atoms (fractional coordinates):
Re 0.0000 0.0000 0.0000
Os 0.5000 0.5000 0.5000
I 0.0000 0.5000 0.5000
I 0.5000 0.0000 0.5000
N 0.5000 0.5000 0.0000

# 8
Material: Er3Ga2Ge3
Method: DFT, SCAN
State: single point on PBEsol structure

electronic total energy	-30.9198	eV per atom
calculated density	9.15	g/cm³
DFT formation energy	-0.798	eV per atom
V	312	Å³/cell
symmetry	No. 63
crystal system	orthorhombic

Cell lengths 5.8700, 5.8700, 9.2818 Å; angles 90.00, 90.00, 77.23 degrees
Atoms (fractional coordinates):
Er 0.1528 0.8472 0.7500
Er 0.3012 0.3012 0.0000
Er 0.3012 0.3012 0.5000
Er 0.6988 0.6988 0.0000
Er 0.6988 0.6988 0.5000
Er 0.8472 0.1528 0.2500
Ga 0.1779 0.8221 0.0503
Ga 0.1779 0.8221 0.4497
Ga 0.8221 0.1779 0.5503
Ga 0.8221 0.1779 0.9497
Ge 0.0046 0.5890 0.2500
Ge 0.4110 0.9954 0.2500
Ge 0.4605 0.5395 0.2500
Ge 0.5395 0.4605 0.7500
Ge 0.5890 0.0046 0.7500
Ge 0.9954 0.4110 0.7500

# 9
Material: EuBi2S4
Method: DFT, SCAN
State: single point on PBEsol structure

electronic total energy	-36.5239	eV per atom
calculated density	6.97	g/cm³
V	666	Å³/cell
formation energy without anion corrections	-20.7	kcal/mol of atoms
symmetry	No. 62
crystal system	orthorhombic

Cell lengths 11.4810, 4.0267, 14.3957 Å; angles 90.00, 90.00, 90.00 degrees
Atoms (fractional coordinates):
Eu 0.2317 0.2500 0.1540
Eu 0.2683 0.7500 0.6540
Eu 0.7317 0.2500 0.3460
Eu 0.7683 0.7500 0.8460
Bi 0.0628 0.7500 0.3943
Bi 0.1110 0.7500 0.9024
Bi 0.3890 0.2500 0.4024
Bi 0.4372 0.2500 0.8943
Bi 0.5628 0.7500 0.1057
Bi 0.6110 0.7500 0.5976
Bi 0.8890 0.2500 0.0976
Bi 0.9372 0.2500 0.6057
S 0.0158 0.7500 0.7134
S 0.0589 0.7500 0.0908
S 0.1733 0.2500 0.5161
S 0.2391 0.2500 0.7991
S 0.2609 0.7500 0.2991
S 0.3267 0.7500 0.0161
S 0.4411 0.2500 0.5908
S 0.4842 0.2500 0.2134
S 0.5158 0.7500 0.7866
S 0.5589 0.7500 0.4092
S 0.6733 0.2500 0.9839
S 0.7391 0.2500 0.7009
S 0.7609 0.7500 0.2009
S 0.8267 0.7500 0.4839
S 0.9411 0.2500 0.9092
S 0.9842 0.2500 0.2866

# 10
Material: BeSi5
Method: DFT, SCAN
State: single point on PBEsol structure

electronic total energy	-8.5753	eV per atom
calculated density	2.96	g/cm³
V	84	Å³/cell
formation energy without anion corrections	11.5	kcal/mol of atoms
symmetry	No. 12
crystal system	monoclinic

Cell lengths 5.5027, 5.5027, 6.5802 Å; angles 111.61, 111.61, 27.03 degrees
Atoms (fractional coordinates):
Be 0.0000 0.0000 0.0000
Si 0.1617 0.1617 0.8352
Si 0.3442 0.3442 0.6944
Si 0.5000 0.5000 0.5000
Si 0.6558 0.6558 0.3056
Si 0.8383 0.8383 0.1648

# 11
Material: PrNdHg2
Method: DFT, SCAN
State: single point on PBEsol structure

electronic total energy	-56.4890	eV per atom
calculated density	10.60	g/cm³
DFT formation energy	-0.679	eV per atom
V	108	Å³/cell
symmetry	No. 225
crystal system	cubic

Cell lengths 5.3377, 5.3377, 5.3377 Å; angles 60.00, 60.00, 60.00 degrees
Atoms (fractional coordinates):
Pr 0.0000 0.0000 0.0000
Nd 0.5000 0.5000 0.5000
Hg 0.2500 0.2500 0.2500
Hg 0.7500 0.7500 0.7500

# 12
Material: RbHg3Pd
Method: DFT, SCAN
State: single point on PBEsol structure

electronic total energy	-51.9181	eV per atom
calculated density	9.03	g/cm³
DFT formation energy	-0.316	eV per atom
V	146	Å³/cell
symmetry	No. 221
crystal system	cubic

Cell lengths 5.2647, 5.2647, 5.2647 Å; angles 90.00, 90.00, 90.00 degrees
Atoms (fractional coordinates):
Rb 0.0000 0.0000 0.0000
Hg 0.0000 0.5000 0.5000
Hg 0.5000 0.0000 0.5000
Hg 0.5000 0.5000 0.0000
Pd 0.5000 0.5000 0.5000

# 13
Material: Rb2HIr
Method: DFT, SCAN
State: single point on PBEsol structure

electronic total energy	-28.6179	eV per atom
calculated density	5.51	g/cm³
V	219	Å³/cell
symmetry	No. 122
crystal system	tetragonal

Cell lengths 8.1597, 8.1597, 8.1597 Å; angles 92.56, 92.56, 155.60 degrees
Atoms (fractional coordinates):
Rb 0.3750 0.1841 0.3091
Rb 0.8159 0.1250 0.1909
Rb 0.8750 0.0659 0.6909
Rb 0.9341 0.6250 0.8091
H 0.0000 0.0000 0.0000
H 0.7500 0.2500 0.5000
Ir 0.2500 0.7500 0.5000
Ir 0.5000 0.5000 0.0000

# 14
Material: Tl2AgGe2
Method: DFT, SCAN
State: single point on PBEsol structure

electronic total energy	-42.5962	eV per atom
calculated density	9.55	g/cm³
DFT formation energy	0.256	eV per atom
V	115	Å³/cell
symmetry	No. 139
crystal system	tetragonal

Cell lengths 9.0948, 9.0948, 9.0948 Å; angles 156.97, 156.97, 32.80 degrees
Atoms (fractional coordinates):
Tl 0.0978 0.0978 0.0000
Tl 0.9022 0.9022 0.0000
Ag 0.5000 0.5000 0.0000
Ge 0.2500 0.7500 0.5000
Ge 0.7500 0.2500 0.5000

# 15
Material: Ga2Ni21B6
Method: DFT, SCAN
State: single point on PBEsol structure

electronic total energy	-14.6619	eV per atom
calculated density	8.63	g/cm³
DFT formation energy	-0.286	eV per atom
V	277	Å³/cell
symmetry	No. 225
crystal system	cubic

Cell lengths 7.3129, 7.3129, 7.3129 Å; angles 60.00, 60.00, 60.00 degrees
Atoms (fractional coordinates):
Ga 0.2500 0.2500 0.2500
Ga 0.7500 0.7500 0.7500
Ni 0.0000 0.0000 0.0000
Ni 0.0000 0.0000 0.3374
Ni 0.0000 0.0000 0.6626
Ni 0.0000 0.3374 0.0000
Ni 0.0000 0.3374 0.6626
Ni 0.0000 0.6626 0.0000
Ni 0.0000 0.6626 0.3374
Ni 0.1467 0.6178 0.6178
Ni 0.3374 0.0000 0.0000
Ni 0.3374 0.0000 0.6626
Ni 0.3374 0.6626 0.0000
Ni 0.3822 0.3822 0.3822
Ni 0.3822 0.3822 0.8533
Ni 0.3822 0.8533 0.3822
Ni 0.6178 0.1467 0.6178
Ni 0.6178 0.6178 0.1467
Ni 0.6178 0.6178 0.6178
Ni 0.6626 0.0000 0.0000
Ni 0.6626 0.0000 0.3374
Ni 0.6626 0.3374 0.0000
Ni 0.8533 0.3822 0.3822
B 0.2733 0.2733 0.7267
B 0.2733 0.7267 0.2733
B 0.2733 0.7267 0.7267
B 0.7267 0.2733 0.2733
B 0.7267 0.2733 0.7267
B 0.7267 0.7267 0.2733

# 16
Material: Ca2TcBr
Method: DFT, SCAN
State: single point on PBEsol structure

electronic total energy	-17.8946	eV per atom
calculated density	4.81	g/cm³
V	89	Å³/cell
formation energy without anion corrections	13.1	kcal/mol of atoms
symmetry	No. 216
crystal system	cubic

Cell lengths 5.0144, 5.0144, 5.0144 Å; angles 60.00, 60.00, 60.00 degrees
Atoms (fractional coordinates):
Ca 0.0000 0.0000 0.0000
Ca 0.2500 0.2500 0.2500
Tc 0.7500 0.7500 0.7500
Br 0.5000 0.5000 0.5000

# 17
Material: BaNb2As2
Method: DFT, SCAN
State: single point on PBEsol structure

electronic total energy	-30.0823	eV per atom
calculated density	6.86	g/cm³
DFT formation energy	-0.844	eV per atom
V	114	Å³/cell
symmetry	No. 139
crystal system	tetragonal

Cell lengths 7.5985, 7.5985, 7.5985 Å; angles 149.24, 149.24, 44.06 degrees
Atoms (fractional coordinates):
Ba 0.0000 0.0000 0.0000
Nb 0.2500 0.7500 0.5000
Nb 0.7500 0.2500 0.5000
As 0.3725 0.3725 0.0000
As 0.6275 0.6275 0.0000

# 18
Material: ZrInIr2
Method: DFT, SCAN
State: single point on PBEsol structure

electronic total energy	-52.2729	eV per atom
calculated density	14.51	g/cm³
DFT formation energy	-0.702	eV per atom
V	68	Å³/cell
symmetry	No. 47
crystal system	orthorhombic

Cell lengths 3.0903, 3.6149, 6.0495 Å; angles 90.00, 90.00, 90.00 degrees
Atoms (fractional coordinates):
Zr 0.0000 0.0000 0.0000
In 0.0000 0.0000 0.5000
Ir 0.5000 0.5000 0.2479
Ir 0.5000 0.5000 0.7521

# 19
Material: SrCaCu2
Method: DFT, SCAN
State: single point on PBEsol structure

electronic total energy	-15.5317	eV per atom
calculated density	4.57	g/cm³
DFT formation energy	0.053	eV per atom
V	93	Å³/cell
symmetry	No. 225
crystal system	cubic

Cell lengths 5.0782, 5.0782, 5.0782 Å; angles 60.00, 60.00, 60.00 degrees
Atoms (fractional coordinates):
Sr 0.0000 0.0000 0.0000
Ca 0.5000 0.5000 0.5000
Cu 0.2500 0.2500 0.2500
Cu 0.7500 0.7500 0.7500

# 20
Material: Sr4Te3Cl4O8
Method: DFT, SCAN
State: single point on PBEsol structure

electronic total energy	-17.0958	eV per atom
calculated density	4.49	g/cm³
V	742	Å³/cell
formation energy without anion corrections	-51.2	kcal/mol of atoms
symmetry	No. 5
crystal system	monoclinic

Cell lengths 8.6508, 8.6508, 16.5992 Å; angles 107.46, 107.46, 39.04 degrees
Atoms (fractional coordinates):
Sr 0.0532 0.0532 0.1836
Sr 0.1387 0.1798 0.4424
Sr 0.2692 0.2546 0.7022
Sr 0.3272 0.3964 0.9590
Sr 0.6036 0.6728 0.0410
Sr 0.7454 0.7308 0.2978
Sr 0.8202 0.8613 0.5576
Sr 0.9468 0.9468 0.8164
Te 0.2511 0.2856 0.1717
Te 0.3608 0.3750 0.4231
Te 0.4730 0.4609 0.6741
Te 0.5391 0.5270 0.3259
Te 0.6250 0.6392 0.5769
Te 0.7144 0.7489 0.8283
Cl 0.0180 0.1776 0.7452
Cl 0.0560 0.9440 0.0000
Cl 0.0864 0.9136 0.5000
Cl 0.2207 0.1664 0.9775
Cl 0.4996 0.4842 0.1269
Cl 0.5158 0.5004 0.8731
Cl 0.8224 0.9820 0.2548
Cl 0.8336 0.7793 0.0225
O 0.0345 0.5844 0.8285
O 0.0539 0.5355 0.4388
O 0.1525 0.6430 0.6845
O 0.2224 0.3827 0.2920
O 0.3570 0.8475 0.3155
O 0.4156 0.9655 0.1715
O 0.4645 0.9461 0.5612
O 0.4845 0.3447 0.5548
O 0.5273 0.0545 0.4197
O 0.5694 0.0650 0.8452
O 0.6173 0.7776 0.7080
O 0.6280 0.1612 0.6964
O 0.6553 0.5155 0.4452
O 0.8388 0.3720 0.3036
O 0.9350 0.4306 0.1548
O 0.9455 0.4727 0.5803